No. 1
Sr2BeIr after structural relaxation, computed with GGA-PBE.

Geometry as POSCAR:
```
Sr2BeIr
1.0
11.1130 0.0000 0.0000
0.0000 11.1130 0.0000
5.5565 5.5565 2.2012
Be Sr Ir
2 4 2
direct
0.2500 0.7500 0.5000 Be
0.5000 0.5000 0.0000 Be
0.8118 0.1250 0.2500 Sr
0.9382 0.6250 0.2500 Sr
0.3750 0.1882 0.7500 Sr
0.8750 0.0618 0.7500 Sr
0.0000 0.0000 0.0000 Ir
0.7500 0.2500 0.5000 Ir
```

Total moment: 0.0 μB/cell

---

No. 2
SrBe2Ir after structural relaxation, computed with GGA-PBE.

Geometry as POSCAR:
```
SrBe2Ir
1.0
-1.0312 3.7376 -3.5945
-0.4540 -1.9615 -4.8887
-1.9364 0.1053 4.9186
Ir Be Sr
1 2 1
direct
0.5566 0.5566 0.0000 Ir
0.7431 0.2431 0.5000 Be
0.9462 0.9462 0.0000 Be
0.2541 0.7541 0.5000 Sr
```

Energy relative to the lowest polymorph listed for this composition: 0.724 eV per atom
Total moment: 0.0 μB/cell

---

For each record above, in turn, the calculated energy of formation values are -0.25; 9.41 kcal/mol of atoms.